Model 1:
VASP calculation (PBE) on crystalline TlVBr2 at its relaxed geometry. Values from VASP.

Summary:
Total magnetic moment   3.70 μB per formula unit

Cell and atoms, written as Quantum ESPRESSO input:
```
&SYSTEM
  ibrav = 0, nat = 8, ntyp = 3
/
ATOMIC_SPECIES
Tl 204.38 Tl.upf
Br 79.90 Br.upf
V 50.94 V.upf
ATOMIC_POSITIONS angstrom
Tl 0.0000 0.0000 0.0000
Tl -3.7461 -1.8898 9.0518
Br -2.7713 -1.0521 5.2774
Br 1.5726 -3.2090 6.4809
Br 0.0261 -2.7853 9.9829
Br -1.9822 -4.4521 14.2442
V -0.8199 -2.7730 5.5239
V 2.1687 -3.8594 8.9410
CELL_PARAMETERS angstrom
-6.7346 -0.8035 5.6347
5.0948 -4.7425 5.4131
0.0624 -0.2032 6.9449
```

Model 2:
VASP calculation (PBE) on crystalline TlVBr2 at its relaxed geometry. Values from VASP.

Summary:
Total magnetic moment   4.00 μB per formula unit

Cell and atoms, written as Quantum ESPRESSO input:
```
&SYSTEM
  ibrav = 0, nat = 4, ntyp = 3
/
ATOMIC_SPECIES
Tl 204.38 Tl.upf
Br 79.90 Br.upf
V 50.94 V.upf
ATOMIC_POSITIONS angstrom
Tl 3.7652 3.7652 3.7652
Br 1.8826 1.8826 1.8826
Br 5.6478 5.6478 5.6478
V 0.0000 0.0000 0.0000
CELL_PARAMETERS angstrom
0.0000 3.7652 3.7652
3.7652 0.0000 3.7652
3.7652 3.7652 0.0000
```

Model 3:
VASP calculation (PBE) on crystalline TlVBr2 at its relaxed geometry. Values from VASP.

Summary:
Total magnetic moment   3.16 μB per formula unit

Cell and atoms, written as Quantum ESPRESSO input:
```
&SYSTEM
  ibrav = 0, nat = 4, ntyp = 3
/
ATOMIC_SPECIES
Tl 204.38 Tl.upf
Br 79.90 Br.upf
V 50.94 V.upf
ATOMIC_POSITIONS angstrom
Tl 0.0000 0.0000 15.1577
Br 0.0000 0.0000 11.6008
Br 0.0000 0.0000 18.7145
V 0.0000 0.0000 0.0000
CELL_PARAMETERS angstrom
2.1749 0.0000 10.1051
-1.0874 1.8835 10.1051
-1.0874 -1.8835 10.1051
```

Most stable structure: model 3

Model 1:
VASP calculation (PBE) on crystalline TlW2Br at its relaxed geometry. Values from VASP.

Summary:
Total magnetic moment   0.00 μB per formula unit

Cell and atoms, written as Quantum ESPRESSO input:
```
&SYSTEM
  ibrav = 0, nat = 4, ntyp = 3
/
ATOMIC_SPECIES
Tl 204.38 Tl.upf
Br 79.90 Br.upf
W 183.84 W.upf
ATOMIC_POSITIONS angstrom
Tl 3.3122 3.3122 3.3122
Br 0.0000 0.0000 0.0000
W 1.6561 1.6561 1.6561
W 4.9683 4.9683 4.9683
CELL_PARAMETERS angstrom
0.0000 3.3122 3.3122
3.3122 0.0000 3.3122
3.3122 3.3122 0.0000
```

Model 2:
VASP calculation (PBE) on crystalline TlW2Br at its relaxed geometry. Values from VASP.

Summary:
Total magnetic moment   0.00 μB per formula unit

Cell and atoms, written as Quantum ESPRESSO input:
```
&SYSTEM
  ibrav = 0, nat = 4, ntyp = 3
/
ATOMIC_SPECIES
Tl 204.38 Tl.upf
Br 79.90 Br.upf
W 183.84 W.upf
ATOMIC_POSITIONS angstrom
Tl 7.9277 1.3112 0.7708
Br 14.2173 2.3514 1.3823
W 0.5927 0.0980 0.0576
W 22.1804 3.6684 2.1566
CELL_PARAMETERS angstrom
10.3410 0.0366 0.0215
9.8021 3.2949 0.0215
9.8021 1.6212 2.8685
```

Model 3:
VASP calculation (PBE) on crystalline TlW2Br at its relaxed geometry. Values from VASP.

Summary:
Total magnetic moment   0.00 μB per formula unit

Cell and atoms, written as Quantum ESPRESSO input:
```
&SYSTEM
  ibrav = 0, nat = 4, ntyp = 3
/
ATOMIC_SPECIES
Tl 204.38 Tl.upf
Br 79.90 Br.upf
W 183.84 W.upf
ATOMIC_POSITIONS angstrom
Tl -1.0752 1.9682 -2.1134
Br -3.2257 5.9047 -6.3403
W 0.4585 5.2534 -0.2084
W -2.1400 3.9573 -4.2136
CELL_PARAMETERS angstrom
-1.1220 1.1584 -4.9031
-3.6478 1.4402 -3.3556
0.4689 5.2743 -0.1951
```

Model 4:
VASP calculation (PBE) on crystalline TlW2Br at its relaxed geometry. Values from VASP.

Summary:
Total magnetic moment   0.00 μB per formula unit

Cell and atoms, written as Quantum ESPRESSO input:
```
&SYSTEM
  ibrav = 0, nat = 4, ntyp = 3
/
ATOMIC_SPECIES
Tl 204.38 Tl.upf
Br 79.90 Br.upf
W 183.84 W.upf
ATOMIC_POSITIONS angstrom
Tl 2.4989 -0.0024 1.5636
Br 3.0435 2.4364 0.0000
W 0.0000 0.0000 0.0000
W 0.5446 2.4389 1.5636
CELL_PARAMETERS angstrom
4.9978 -0.0049 0.0000
1.0891 4.8777 0.0000
-3.0435 -2.4364 3.1272
```

Most stable structure: model 2

Model 1:
VASP calculation (PBE) on crystalline TlW2Br at its relaxed geometry. Values from VASP.

Summary:
Total magnetic moment   0.00 μB per formula unit

Cell and atoms, written as Quantum ESPRESSO input:
```
&SYSTEM
  ibrav = 0, nat = 4, ntyp = 3
/
ATOMIC_SPECIES
Tl 204.38 Tl.upf
Br 79.90 Br.upf
W 183.84 W.upf
ATOMIC_POSITIONS angstrom
Tl 2.5262 2.1860 4.1812
Br 2.5262 0.7287 1.3937
W 0.0000 -0.3346 5.0698
W 0.0000 1.2650 3.3214
CELL_PARAMETERS angstrom
5.0524 0.0000 0.0000
0.0000 3.4415 -0.0288
0.0000 -0.5269 5.6038
```

Model 2:
VASP calculation (PBE) on crystalline TlW2Br at its relaxed geometry. Values from VASP.

Summary:
Total magnetic moment   0.00 μB per formula unit

Cell and atoms, written as Quantum ESPRESSO input:
```
&SYSTEM
  ibrav = 0, nat = 4, ntyp = 3
/
ATOMIC_SPECIES
Tl 204.38 Tl.upf
Br 79.90 Br.upf
W 183.84 W.upf
ATOMIC_POSITIONS angstrom
Tl -1.5123 -0.3606 3.4690
Br -3.4051 -0.8773 -1.4444
W 0.0000 0.0000 0.0000
W -1.8912 -1.9153 0.9300
CELL_PARAMETERS angstrom
-3.7840 -2.4320 -3.9833
0.0016 -1.3985 5.8433
-3.0262 0.6774 1.0946
```

Most stable structure: model 1

Model 1:
VASP calculation (PBE) on crystalline TlW2Br at its relaxed geometry. Values from VASP.

Summary:
Total magnetic moment   0.00 μB per formula unit

Cell and atoms, written as Quantum ESPRESSO input:
```
&SYSTEM
  ibrav = 0, nat = 4, ntyp = 3
/
ATOMIC_SPECIES
Tl 204.38 Tl.upf
Br 79.90 Br.upf
W 183.84 W.upf
ATOMIC_POSITIONS angstrom
Tl 1.2186 2.7548 0.8501
Br 2.5064 0.3734 1.8371
W 0.0000 0.0000 0.0000
W 1.2637 2.3203 3.9494
CELL_PARAMETERS angstrom
-0.0242 4.7017 2.9624
2.5515 -0.0611 4.9364
1.1976 -1.5123 -5.2116
```

Model 2:
VASP calculation (PBE) on crystalline TlW2Br at its relaxed geometry. Values from VASP.

Summary:
Total magnetic moment   0.00 μB per formula unit

Cell and atoms, written as Quantum ESPRESSO input:
```
&SYSTEM
  ibrav = 0, nat = 4, ntyp = 3
/
ATOMIC_SPECIES
Tl 204.38 Tl.upf
Br 79.90 Br.upf
W 183.84 W.upf
ATOMIC_POSITIONS angstrom
Tl 4.0794 -6.7492 -0.5368
Br 2.8443 -3.1564 0.0106
W 0.3403 -0.3524 -0.0630
W 0.6116 -2.6164 -1.2724
CELL_PARAMETERS angstrom
-2.2689 -2.0473 -0.8059
1.5028 -0.5123 -2.9292
5.2602 -6.7057 2.2255
```

Model 3:
VASP calculation (PBE) on crystalline TlW2Br at its relaxed geometry. Values from VASP.

Summary:
Total magnetic moment   0.00 μB per formula unit

Cell and atoms, written as Quantum ESPRESSO input:
```
&SYSTEM
  ibrav = 0, nat = 8, ntyp = 3
/
ATOMIC_SPECIES
Tl 204.38 Tl.upf
Br 79.90 Br.upf
W 183.84 W.upf
ATOMIC_POSITIONS angstrom
Tl 0.0000 0.0000 0.0000
Tl 4.2020 2.1010 4.8771
Br 2.1010 2.1010 0.0000
Br 2.1010 4.2020 4.8771
W 2.8629 1.0505 2.4386
W 1.3391 3.1515 2.4386
W 3.1515 3.4401 7.3157
W 5.2525 4.9639 7.3157
CELL_PARAMETERS angstrom
4.2020 0.0000 0.0000
0.0000 4.2020 0.0000
2.1010 2.1010 9.7543
```

Model 4:
VASP calculation (PBE) on crystalline TlW2Br at its relaxed geometry. Values from VASP.

Summary:
Total magnetic moment   0.26 μB per formula unit

Cell and atoms, written as Quantum ESPRESSO input:
```
&SYSTEM
  ibrav = 0, nat = 4, ntyp = 3
/
ATOMIC_SPECIES
Tl 204.38 Tl.upf
Br 79.90 Br.upf
W 183.84 W.upf
ATOMIC_POSITIONS angstrom
Tl 0.0000 2.6522 2.5196
Br 1.4585 0.0000 2.5196
W 0.0000 0.0000 0.0000
W 1.4585 2.6522 0.0000
CELL_PARAMETERS angstrom
2.9170 0.0000 0.0000
0.0000 5.3044 0.0000
0.0000 0.0000 5.0391
```

Most stable structure: model 2

Model 1:
VASP calculation (PBE) on crystalline TlW2Br at its relaxed geometry. Values from VASP.

Summary:
Total magnetic moment   0.00 μB per formula unit

Cell and atoms, written as Quantum ESPRESSO input:
```
&SYSTEM
  ibrav = 0, nat = 4, ntyp = 3
/
ATOMIC_SPECIES
Tl 204.38 Tl.upf
Br 79.90 Br.upf
W 183.84 W.upf
ATOMIC_POSITIONS angstrom
Tl 0.0000 1.9499 2.3610
Br 1.4905 4.5972 2.3212
W 0.0000 0.0000 0.0000
W 1.4905 2.6473 -0.0398
CELL_PARAMETERS angstrom
2.9809 0.0000 0.0000
0.0000 5.2946 -0.0797
0.0000 3.8998 4.7220
```

Model 2:
VASP calculation (PBE) on crystalline TlW2Br at its relaxed geometry. Values from VASP.

Summary:
Total magnetic moment   0.00 μB per formula unit

Cell and atoms, written as Quantum ESPRESSO input:
```
&SYSTEM
  ibrav = 0, nat = 4, ntyp = 3
/
ATOMIC_SPECIES
Tl 204.38 Tl.upf
Br 79.90 Br.upf
W 183.84 W.upf
ATOMIC_POSITIONS angstrom
Tl -3.1512 4.2202 6.3231
Br -1.9352 2.9830 2.8726
W -0.2006 0.3092 0.2977
W -0.7393 0.5025 2.7430
CELL_PARAMETERS angstrom
-2.0631 -2.1392 0.8316
2.5866 0.0579 1.6824
-4.3665 6.7308 6.4816
```

Model 3:
VASP calculation (PBE) on crystalline TlW2Br at its relaxed geometry. Values from VASP.

Summary:
Total magnetic moment   0.00 μB per formula unit

Cell and atoms, written as Quantum ESPRESSO input:
```
&SYSTEM
  ibrav = 0, nat = 4, ntyp = 3
/
ATOMIC_SPECIES
Tl 204.38 Tl.upf
Br 79.90 Br.upf
W 183.84 W.upf
ATOMIC_POSITIONS angstrom
Tl 1.4535 -6.4801 -5.7607
Br 0.9690 -4.3201 -3.8405
W 0.0000 0.0000 0.0000
W 0.4845 -2.1600 -1.9202
CELL_PARAMETERS angstrom
-0.0314 -1.1869 -4.6359
3.2705 -3.0450 -1.7125
-1.3010 -4.4083 -1.3325
```

Most stable structure: model 2